Ba2MnPtO6 | PBE+U | relaxed

Cell lengths 5.7891, 5.7891, 5.2163 Å; angles 90.00, 90.00, 120.00 degrees
Space group P-3m1 (No. 164)
Asymmetric unit:
Ba (0.3333, 0.6667, 0.2367) [2 per cell]
Mn (0.0000, 0.0000, 0.0000) [1 per cell]
Pt (0.0000, 0.0000, 0.5000) [1 per cell]
O (0.1512, 0.3024, 0.7657) [6 per cell]

- final energy (eV for the cell shown) = -64.8